VASP calculation (PBE) on a relaxed structure of Al2Se2Br.

Calculated values
Formation energy from raw total energies   -0.352 eV/atom
Symmetry   I4/mmm, No. 139
DOS at the Fermi energy   4.1 states/eV/cell
Energy relative to the lowest polymorph listed for this composition   130 kJ/mol of formula units
Calculated volume   22.0 Å³/atom
Crystal system   tetragonal

Unit cell a=6.130 b=6.130 c=6.130 alpha=135.90 beta=135.90 gamma=64.14
Fractional positions:
Al 0.626 0.626 0.000
Al 0.374 0.374 0.000
Se 0.250 0.750 0.500
Se 0.750 0.250 0.500
Br 0.000 0.000 0.000